Entry 1:
Here is a geometry-optimized Tc2AsF structure from the Alexandria database. Energies are from GGA-PBE.

Computed properties:
Energy relative to the elements, uncorrected = -0.0681 eV per atom
Size of the total moment = 0.000 μB/cell
Volume = 13.33 Å³/atom

Cell: 4.2249 4.2249 4.2249 Å, 60.00 60.00 60.00°
Closest atoms and distances in Å follow each position.
Fractional positions:
F 0.0000 0.0000 0.0000  8 Tc 2.59
As 0.5000 0.5000 0.5000  8 Tc 2.59
Tc 0.2500 0.2500 0.2500  4 F 2.59, 4 As 2.59
Tc 0.7500 0.7500 0.7500  4 As 2.59, 4 F 2.59



Entry 2:
Here is a geometry-optimized NaLaMgPb structure from the Alexandria database. Energies are from GGA-PBE.

Computed properties:
Size of the total moment = 0.000 μB/cell
Volume = 29.59 Å³/atom
Calculated formation energy = -0.230 eV/atom

Cell: 5.5112 5.5112 5.5112 Å, 60.00 60.00 60.00°
Closest atoms and distances in Å follow each position.
Fractional positions:
Pb 0.7500 0.7500 0.7500  4 La 3.37, 4 Na 3.37
Mg 0.2500 0.2500 0.2500  4 La 3.37, 4 Na 3.37
Na 0.0000 0.0000 0.0000  4 Mg 3.37, 4 Pb 3.37
La 0.5000 0.5000 0.5000  4 Pb 3.37, 4 Mg 3.37



Entry 3:
Here is a geometry-optimized CaYPb2 structure from the Alexandria database. Energies are from GGA-PBE.

Computed properties:
Size of the total moment = 0.000 μB/cell
Volume = 29.14 Å³/atom
Calculated formation energy = -0.498 eV/atom

Cell: 3.5795 3.5796 9.0961 Å, 90.00 90.00 90.06°
Closest atoms and distances in Å follow each position.
Fractional positions:
Ca 0.5000 0.5000 0.7500  8 Pb 3.43, 4 Ca 3.58
Pb 0.0000 0.0000 0.0045  4 Y 3.37-3.38, 4 Ca 3.43, 4 Pb 3.58
Pb 0.0000 0.0000 0.4955  4 Y 3.37-3.38, 4 Ca 3.43, 4 Pb 3.58
Y 0.5000 0.5000 0.2500  8 Pb 3.37-3.38, 4 Y 3.58



Entry 4:
Here is a geometry-optimized Al2InBr structure from the Alexandria database. Energies are from GGA-PBE.

Computed properties:
Energy relative to the elements, uncorrected = 0.1902 eV per atom
Size of the total moment = 0.000 μB/cell
Volume = 32.19 Å³/atom

Cell: 6.2210 6.2210 7.9766 Å, 67.05 67.05 90.00°
Closest atoms and distances in Å follow each position.
Fractional positions:
Br 0.2500 0.7500 0.5000  4 Al 2.87
Br 0.5000 0.5000 0.0000  4 Al 2.87
In 0.0000 0.0000 0.0000  4 Al 2.66
In 0.7500 0.2500 0.5000  4 Al 2.66
Al 0.0952 0.6250 0.2500  2 In 2.66, 2 Br 2.87
Al 0.8750 0.9048 0.7500  2 In 2.66, 2 Br 2.87
Al 0.3750 0.3452 0.7500  2 In 2.66, 2 Br 2.87
Al 0.6548 0.1250 0.2500  2 In 2.66, 2 Br 2.87



Summary of mass density in g/cm³
9.03 5.52 7.74 3.21
(order as listed above)
Summary of DFT total energy in eV/atom
-6.881 -3.117 -4.469 -2.784
(order as listed above)